Entry 1:
Material: SbIrW2
Method: DFT, PBE-GGA
State: relaxed

Cell lengths 5.172, 5.172, 5.172 Å; angles 140.81, 128.77, 66.34 degrees
Fractional coordinates of all 4 atoms:
W 0.003 0.003 0.000
W 0.753 0.253 0.500
Sb 0.256 0.756 0.500
Ir 0.488 0.488 0.000

The calculation puts the spin magnetization at 0.000 μB per atom. Its uncorrected formation energy is 0.42 eV per atom.

---

Entry 2:
Material: SbIrW2
Method: DFT, PBE-GGA
State: relaxed

Cell lengths 5.032, 5.032, 4.736 Å; angles 81.39, 81.39, 35.03 degrees
Fractional coordinates of all 4 atoms:
Sb 0.250 0.250 0.250
Ir 0.750 0.750 0.750
W 0.008 0.008 0.979
W 0.492 0.492 0.521

The calculation puts the spin magnetization at 0.000 μB per atom. Its uncorrected formation energy is 0.32 eV per atom.

---

Entry 3:
Material: SbIrW2
Method: DFT, PBE-GGA
State: relaxed

Cell lengths 4.579, 4.579, 4.579 Å; angles 60.00, 60.00, 60.00 degrees
Fractional coordinates of all 4 atoms:
W 0.000 0.000 0.000
W 0.750 0.750 0.750
Ir 0.500 0.500 0.500
Sb 0.250 0.250 0.250

The calculation puts the spin magnetization at 0.000 μB per atom. Its uncorrected formation energy is 0.56 eV per atom.

---

Entry 4:
Material: SbIrW2
Method: DFT, PBE-GGA
State: relaxed

Cell lengths 8.752, 8.752, 8.752 Å; angles 20.29, 20.29, 20.29 degrees
Fractional coordinates of all 4 atoms:
W 0.251 0.251 0.251
W 0.994 0.994 0.994
Ir 0.505 0.505 0.505
Sb 0.750 0.750 0.750

The calculation puts the spin magnetization at 0.000 μB per atom. Its uncorrected formation energy is 0.40 eV per atom.

---

Entry 5:
Material: SbIrW2
Method: DFT, PBE-GGA
State: relaxed

Cell lengths 2.885, 3.983, 5.988 Å; angles 90.00, 90.00, 90.00 degrees
Fractional coordinates of all 4 atoms:
W 0.000 0.000 0.010
W 0.500 0.500 0.273
Sb 0.500 0.500 0.751
Ir 0.000 0.000 0.466

The calculation puts the spin magnetization at 0.000 μB per atom. Its uncorrected formation energy is 0.39 eV per atom.

---

Entry 6:
Material: Sb2IrW
Method: DFT, PBE-GGA
State: relaxed

Cell lengths 2.943, 3.822, 7.815 Å; angles 90.00, 90.00, 90.00 degrees
Fractional coordinates of all 4 atoms:
Sb 0.000 0.000 0.920
Sb 0.500 0.500 0.323
W 0.000 0.000 0.549
Ir 0.500 0.500 0.708

The calculation puts the spin magnetization at 0.000 μB per atom. The value obtained for the offset from the most stable computed form is 5.3 kJ/mol of atoms. Its uncorrected formation energy is 0.21 eV per atom.

---

Entry 7:
Material: Sb2IrW
Method: DFT, PBE-GGA
State: relaxed

Cell lengths 4.437, 3.010, 5.800 Å; angles 90.77, 90.00, 90.00 degrees
Fractional coordinates of all 4 atoms:
Sb 0.000 0.596 0.493
Sb 0.000 0.904 0.007
W 0.500 0.250 0.250
Ir 0.500 0.750 0.750

The calculation puts the spin magnetization at 0.000 μB per atom. The value obtained for the offset from the most stable computed form is 58.1 kJ/mol of atoms. Its uncorrected formation energy is 0.76 eV per atom.

---

Entry 8:
Material: Sb2IrW
Method: DFT, PBE-GGA
State: relaxed

Cell lengths 3.217, 5.455, 4.440 Å; angles 90.00, 90.00, 90.00 degrees
Fractional coordinates of all 4 atoms:
Sb 0.000 0.000 0.000
Sb 0.500 0.500 0.000
W 0.500 0.000 0.500
Ir 0.000 0.500 0.500

The calculation puts the spin magnetization at 0.000 μB per atom. The value obtained for the offset from the most stable computed form is 58.2 kJ/mol of atoms. Its uncorrected formation energy is 0.76 eV per atom.